Entry 1:
## Na2AlZn3Sn4 (PBE)

Data for a relaxed structure of Na2AlZn3Sn4.

DFT formation energy (eV per formula unit): -0.7
ρ (kg/m3): 5045
DOS(E_F) (states/eV per atom): 0.225

Cell: 4.537 4.537 11.899 Å, 90.00 90.00 90.00°
Space group P-4m2 (No. 115)
Inequivalent atoms, fractional coordinates:
Na 0.000 0.500 0.250 (multiplicity 2)
Al 0.000 0.000 0.500 (multiplicity 1)
Zn 0.000 0.500 0.857 (multiplicity 2)
Zn 0.500 0.500 0.500 (multiplicity 1)
Sn 0.000 0.000 0.000 (multiplicity 1)
Sn 0.000 0.500 0.636 (multiplicity 2)
Sn 0.500 0.500 0.000 (multiplicity 1)

***

Entry 2:
## ErHfAlRu (PBE)

Data for a relaxed structure of ErHfAlRu.

DFT formation energy (eV per formula unit): -1.5
ρ (kg/m3): 10156
DOS(E_F) (states/eV per atom): 0.440

Cell: 6.767 6.767 6.767 Å, 90.00 90.00 90.00°
Space group F-43m (No. 216)
Inequivalent atoms, fractional coordinates:
Er 0.000 0.000 0.000 (multiplicity 4)
Hf 0.000 0.000 0.500 (multiplicity 4)
Al 0.250 0.250 0.250 (multiplicity 4)
Ru 0.250 0.250 0.750 (multiplicity 4)

***

Entry 3:
## Mg2GaBi (PBE)

Data for a relaxed structure of Mg2GaBi.

DFT formation energy (eV per formula unit): -0.4
ρ (kg/m3): 5723
Offset from the most stable computed form (meV per atom): 0
DOS(E_F) (states/eV per atom): 0.346

Cell: 4.667 4.667 4.360 Å, 90.00 90.00 90.00°
Space group P4/mmm (No. 123)
Inequivalent atoms, fractional coordinates:
Mg 0.000 0.500 0.000 (multiplicity 2)
Ga 0.000 0.000 0.500 (multiplicity 1)
Bi 0.500 0.500 0.500 (multiplicity 1)

***

Entry 4:
## Sr2PuAs4Pt3 (PBE)

Data for a relaxed structure of Sr2PuAs4Pt3.

DFT formation energy (eV per formula unit): -8.0
ρ (kg/m3): 9684
DOS(E_F) (states/eV per atom): 1.757

Cell: 4.509 4.509 11.000 Å, 90.00 90.00 90.00°
Space group P-4m2 (No. 115)
Inequivalent atoms, fractional coordinates:
Sr 0.000 0.500 0.227 (multiplicity 2)
Pu 0.000 0.000 0.500 (multiplicity 1)
As 0.000 0.000 0.000 (multiplicity 1)
As 0.000 0.500 0.659 (multiplicity 2)
As 0.500 0.500 0.000 (multiplicity 1)
Pt 0.000 0.500 0.892 (multiplicity 2)
Pt 0.500 0.500 0.500 (multiplicity 1)